[1]
A plane-wave DFT calculation with SCAN was carried out for a crystal of MgAgGe3 relaxed with PBEsol.

Cell and atoms, written as POSCAR:
```
MgAgGe3
1.0
4.906 0.000 0.000
0.000 4.906 0.000
0.000 0.000 4.906
Mg Ag Ge
1 1 3
Cartesian
0.000 0.000 0.000
2.453 2.453 2.453
0.000 0.000 2.453
0.000 2.453 0.000
2.453 0.000 0.000
```

Values from the calculation:
total moment = 0.000 μB per cell
ΔE_f = 885 meV/atom

***

[2]
A plane-wave DFT calculation with SCAN was carried out for a crystal of HgAs5 relaxed with PBEsol.

Cell and atoms, written as POSCAR:
```
HgAs5
1.0
5.546 0.000 0.000
-2.773 4.803 0.000
0.000 0.000 4.707
Hg As
1 5
Cartesian
0.000 0.000 0.000
-1.387 2.402 2.354
0.000 3.202 0.000
2.773 0.000 2.354
1.387 2.402 2.354
2.773 1.601 0.000
```

Values from the calculation:
total moment = 0.000 μB per cell
ΔE_f = 465 meV/atom

***

Number 1: Fermi-level density of states 0.490 states/eV per atom. Number 2: Fermi-level density of states 0.531 states/eV per atom.